[1]
Below is an optimized crystal structure of Dy4Ho2Mg, with properties calculated at the GGA-PBE level.

## Properties
- Theoretical density: 7.5 g/cm3
- Space group: P2/m (10)
- Total moment: 0.000 μB per atom
- VASP energy: -4.028 eV/atom
- Calculated formation energy: 0.97 eV/f.u.
- Relative energy among the computed polymorphs: 0.0333 eV per atom
- V: 223 Å³/cell
- D(E_F): 7.9 states/eV/f.u.

Lattice parameters (Å, degrees): 3.596 5.889 11.334 111.62 90.00 90.00
Fractional positions:
Dy 0.500 0.173 0.249
Dy 0.500 0.827 0.751
Dy 0.000 0.357 0.799
Dy 0.000 0.643 0.201
Ho 0.000 0.500 0.500
Ho 0.500 0.000 0.500
Mg 0.000 0.000 0.000

=====

[2]
Below is an optimized crystal structure of Dy4Ho5Mg, with properties calculated at the GGA-PBE level.

## Properties
- Theoretical density: 8.2 g/cm3
- Space group: P4/mmm (123)
- Total moment: 0.000 μB per atom
- VASP energy: -4.288 eV/atom
- Calculated formation energy: 0.01 eV/f.u.
- Relative energy among the computed polymorphs: 0.0000 eV per atom
- V: 304 Å³/cell
- D(E_F): 13.4 states/eV/f.u.

Lattice parameters (Å, degrees): 3.537 3.537 24.311 90.00 90.00 90.00
Fractional positions:
Dy 0.000 0.000 0.192
Dy 0.000 0.000 0.397
Dy 0.000 0.000 0.603
Dy 0.000 0.000 0.808
Ho 0.500 0.500 0.091
Ho 0.500 0.500 0.295
Ho 0.500 0.500 0.500
Ho 0.500 0.500 0.705
Ho 0.500 0.500 0.909
Mg 0.000 0.000 0.000

=====

[3]
Below is an optimized crystal structure of Dy3Ho7Mg, with properties calculated at the GGA-PBE level.

## Properties
- Theoretical density: 7.8 g/cm3
- Space group: P3m1 (156)
- Total moment: 0.000 μB per atom
- VASP energy: -4.117 eV/atom
- Calculated formation energy: 2.16 eV/f.u.
- V: 355 Å³/cell
- D(E_F): 15.2 states/eV/f.u.

Lattice parameters (Å, degrees): 8.507 6.943 6.943 120.00 90.00 90.00
Fractional positions:
Dy 0.785 0.502 0.498
Dy 0.785 0.502 0.003
Dy 0.785 0.997 0.498
Ho 0.120 0.167 0.833
Ho 0.120 0.167 0.334
Ho 0.116 0.667 0.333
Ho 0.446 0.831 0.169
Ho 0.446 0.339 0.169
Ho 0.446 0.831 0.661
Ho 0.120 0.666 0.833
Mg 0.446 0.333 0.667

=====

[4]
Below is an optimized crystal structure of Dy2Ho2Mg, with properties calculated at the GGA-PBE level.

## Properties
- Theoretical density: 7.6 g/cm3
- Space group: Immm (71)
- Total moment: 0.000 μB per atom
- VASP energy: -4.006 eV/atom
- Calculated formation energy: -0.07 eV/f.u.
- Relative energy among the computed polymorphs: 0.0000 eV per atom
- V: 297 Å³/cell
- D(E_F): 7.8 states/eV/f.u.

Lattice parameters (Å, degrees): 3.547 7.114 13.047 114.13 97.81 90.00
Fractional positions:
Dy 0.407 0.859 0.812
Dy 0.406 0.359 0.812
Dy 0.593 0.141 0.188
Dy 0.594 0.641 0.188
Ho 0.197 0.546 0.395
Ho 0.803 0.954 0.605
Ho 0.803 0.454 0.605
Ho 0.197 0.046 0.395
Mg 0.000 0.250 0.000
Mg 0.000 0.750 0.000

=====

Repeat the fourth record exactly.
Below is an optimized crystal structure of Dy2Ho2Mg, with properties calculated at the GGA-PBE level.

## Properties
- Theoretical density: 7.6 g/cm3
- Space group: Immm (71)
- Total moment: 0.000 μB per atom
- VASP energy: -4.006 eV/atom
- Calculated formation energy: -0.07 eV/f.u.
- Relative energy among the computed polymorphs: 0.0000 eV per atom
- V: 297 Å³/cell
- D(E_F): 7.8 states/eV/f.u.

Lattice parameters (Å, degrees): 3.547 7.114 13.047 114.13 97.81 90.00
Fractional positions:
Dy 0.407 0.859 0.812
Dy 0.406 0.359 0.812
Dy 0.593 0.141 0.188
Dy 0.594 0.641 0.188
Ho 0.197 0.546 0.395
Ho 0.803 0.954 0.605
Ho 0.803 0.454 0.605
Ho 0.197 0.046 0.395
Mg 0.000 0.250 0.000
Mg 0.000 0.750 0.000